# H8PdPt2Rh

A relaxed H8PdPt2Rh crystal (PBE-GGA, Alexandria via LeMat-Bulk).

Cell lengths 5.484, 5.484, 5.484 Å; angles 132.00, 132.00, 70.22 degrees
Fractional coordinates of all 12 atoms:
H1 0.120 0.130 0.488
H2 0.120 0.632 0.990
H3 0.368 0.358 0.488
H4 0.368 0.880 0.010
H5 0.642 0.130 0.010
H6 0.642 0.632 0.512
H7 0.870 0.358 0.990
H8 0.870 0.880 0.512
Pd1 0.250 0.750 0.500
Pt1 0.500 0.500 0.000
Pt2 0.750 0.250 0.500
Rh1 0.000 0.000 0.000

Results
SG = I-4m2
calculated density = 11.30 g cm⁻³
DOS(E_F) = 2.02 states/eV/f.u.
VASP energy = -0.3075 Ry/atom
volume = 89.3 Å³ per cell

# CeTlBiAu

A relaxed CeTlBiAu crystal (PBE-GGA, Alexandria via LeMat-Bulk).

Cell lengths 7.639, 7.639, 7.639 Å; angles 90.00, 90.00, 90.00 degrees
Fractional coordinates of all 16 atoms:
Ce1 0.000 0.000 0.000
Ce2 0.000 0.500 0.500
Ce3 0.500 0.000 0.500
Ce4 0.500 0.500 0.000
Tl1 0.000 0.000 0.500
Tl2 0.000 0.500 0.000
Tl3 0.500 0.000 0.000
Tl4 0.500 0.500 0.500
Bi1 0.250 0.250 0.250
Bi2 0.250 0.750 0.750
Bi3 0.750 0.250 0.750
Bi4 0.750 0.750 0.250
Au1 0.250 0.250 0.750
Au2 0.250 0.750 0.250
Au3 0.750 0.250 0.250
Au4 0.750 0.750 0.750

Results
SG = F-43m
calculated density = 11.18 g cm⁻³
DOS(E_F) = 7.58 states/eV/f.u.
volume = 445.8 Å³ per cell
E_form = -0.3291 eV per atom

# Co3SnH

A relaxed Co3SnH crystal (PBE-GGA, Alexandria via LeMat-Bulk).

Cell lengths 3.734, 3.734, 3.734 Å; angles 90.00, 90.00, 90.00 degrees
Fractional coordinates of all 5 atoms:
Co1 0.000 0.000 0.500
Co2 0.000 0.500 0.000
Co3 0.500 0.000 0.000
Sn1 0.500 0.500 0.500
H1 0.000 0.000 0.000

Results
SG = Pm-3m
calculated density = 9.46 g cm⁻³
DOS(E_F) = 4.07 states/eV/f.u.
ΔE to the lowest computed polymorph = 0.00 eV/f.u.
volume = 52.1 Å³ per cell

# Tm2AlSiPt6

A relaxed Tm2AlSiPt6 crystal (PBE-GGA, Alexandria via LeMat-Bulk).

Cell lengths 8.018, 8.018, 8.018 Å; angles 40.65, 40.65, 40.65 degrees
Fractional coordinates of all 10 atoms:
Tm1 0.205 0.205 0.205
Tm2 0.795 0.795 0.795
Al1 0.500 0.500 0.500
Si1 0.000 0.000 0.000
Pt1 0.248 0.248 0.744
Pt2 0.248 0.744 0.248
Pt3 0.256 0.752 0.752
Pt4 0.744 0.248 0.248
Pt5 0.752 0.256 0.752
Pt6 0.752 0.752 0.256

Results
SG = R-3m
calculated density = 13.16 g cm⁻³
DOS(E_F) = 3.25 states/eV/f.u.
volume = 197.3 Å³ per cell
energy relative to the elements, uncorrected = -0.96 eV per atom

# V2ZnBr2

A relaxed V2ZnBr2 crystal (PBE-GGA, Alexandria via LeMat-Bulk).

Cell lengths 7.110, 7.110, 4.256 Å; angles 90.00, 90.00, 90.00 degrees
Fractional coordinates of all 10 atoms:
V1 0.156 0.344 0.000
V2 0.344 0.844 0.000
V3 0.656 0.156 0.000
V4 0.844 0.656 0.000
Zn1 0.000 0.000 0.000
Zn2 0.500 0.500 0.000
Br1 0.176 0.676 0.500
Br2 0.324 0.176 0.500
Br3 0.676 0.824 0.500
Br4 0.824 0.324 0.500

Results
SG = P4/mbm
calculated density = 5.05 g cm⁻³
DOS(E_F) = 5.85 states/eV/f.u.
ΔE to the lowest computed polymorph = 0.77 eV/f.u.
volume = 215.2 Å³ per cell
energy relative to the elements, uncorrected = 0.39 eV per atom

# ZnGa2Br

A relaxed ZnGa2Br crystal (PBE-GGA, Alexandria via LeMat-Bulk).

Cell lengths 7.208, 7.208, 7.208 Å; angles 90.00, 90.00, 90.00 degrees
Fractional coordinates of all 16 atoms:
Zn1 0.000 0.000 0.000
Zn2 0.000 0.500 0.500
Zn3 0.500 0.000 0.500
Zn4 0.500 0.500 0.000
Ga1 0.250 0.250 0.250
Ga2 0.250 0.250 0.750
Ga3 0.250 0.750 0.250
Ga4 0.250 0.750 0.750
Ga5 0.750 0.250 0.250
Ga6 0.750 0.250 0.750
Ga7 0.750 0.750 0.250
Ga8 0.750 0.750 0.750
Br1 0.000 0.000 0.500
Br2 0.000 0.500 0.000
Br3 0.500 0.000 0.000
Br4 0.500 0.500 0.500

Results
SG = Fm-3m
calculated density = 5.05 g cm⁻³
DOS(E_F) = 4.55 states/eV/f.u.
ΔE to the lowest computed polymorph = 0.33 eV/f.u.
volume = 374.5 Å³ per cell
energy relative to the elements, uncorrected = 0.12 eV per atom

Question: The lowest DOS(E_F) belongs to which entry?
Answer: H8PdPt2Rh

Question: DOS(E_F) of number 5 (V2ZnBr2)?
Answer: 5.85 states/eV/f.u.

Question: Which of these has the highest DOS(E_F)?
Answer: CeTlBiAu

What did the sixth record say?
# ZnGa2Br

A relaxed ZnGa2Br crystal (PBE-GGA, Alexandria via LeMat-Bulk).

Cell lengths 7.208, 7.208, 7.208 Å; angles 90.00, 90.00, 90.00 degrees
Fractional coordinates of all 16 atoms:
Zn1 0.000 0.000 0.000
Zn2 0.000 0.500 0.500
Zn3 0.500 0.000 0.500
Zn4 0.500 0.500 0.000
Ga1 0.250 0.250 0.250
Ga2 0.250 0.250 0.750
Ga3 0.250 0.750 0.250
Ga4 0.250 0.750 0.750
Ga5 0.750 0.250 0.250
Ga6 0.750 0.250 0.750
Ga7 0.750 0.750 0.250
Ga8 0.750 0.750 0.750
Br1 0.000 0.000 0.500
Br2 0.000 0.500 0.000
Br3 0.500 0.000 0.000
Br4 0.500 0.500 0.500

Results
SG = Fm-3m
calculated density = 5.05 g cm⁻³
DOS(E_F) = 4.55 states/eV/f.u.
ΔE to the lowest computed polymorph = 0.33 eV/f.u.
volume = 374.5 Å³ per cell
energy relative to the elements, uncorrected = 0.12 eV per atom